#A
Below is a relaxed LaNdIr crystal, with properties calculated at the PBE-GGA level.

abc: 7.253 7.253 5.791
angles: 113.48 113.48 46.64
Fractional positions:
La (0.137, 0.137, 0.388)
La (0.863, 0.863, 0.612)
Nd (0.387, 0.387, 0.137)
Nd (0.613, 0.613, 0.863)
Ir (0.375, 0.375, 0.625)
Ir (0.625, 0.625, 0.375)

Space-group type = C2/m, No. 12
Fermi-level density of states = 1.9 states/eV/f.u.

#B
Below is a relaxed LaNdIr crystal, with properties calculated at the PBE-GGA level.

abc: 7.250 7.250 7.250
angles: 151.17 151.17 41.22
Fractional positions:
La (0.000, 0.000, 0.000)
Nd (0.755, 0.755, 0.000)
Ir (0.377, 0.377, 0.000)

Space-group type = I4mm, No. 107
Fermi-level density of states = 2.8 states/eV/f.u.

#C
Below is a relaxed LaNdIr crystal, with properties calculated at the PBE-GGA level.

abc: 6.671 6.671 6.901
angles: 95.59 95.59 34.64
Fractional positions:
La (0.000, 0.000, 0.000)
La (0.723, 0.723, 0.731)
Nd (0.276, 0.276, 0.265)
Nd (0.997, 0.997, 0.497)
Ir (0.378, 0.378, 0.715)
Ir (0.615, 0.615, 0.276)

Space-group type = Cm, No. 8
Fermi-level density of states = 2.3 states/eV/f.u.

Most stable: #C (next structure +1.3 kJ/mol of atoms)

#A
Below is a relaxed LaNdIr crystal, with properties calculated at the PBE-GGA level.

abc: 4.241 4.241 6.536
angles: 90.00 90.00 120.00
Fractional positions:
La (0.000, 0.000, 0.000)
Nd (0.333, 0.667, 0.452)
Ir (0.667, 0.333, 0.225)

Space-group type = P3m1, No. 156
Fermi-level density of states = 2.2 states/eV/f.u.

#B
Below is a relaxed LaNdIr crystal, with properties calculated at the PBE-GGA level.

abc: 4.989 4.989 4.989
angles: 60.00 60.00 60.00
Fractional positions:
La (0.000, 0.000, 0.000)
Nd (0.500, 0.500, 0.500)
Ir (0.250, 0.250, 0.250)

Space-group type = F-43m, No. 216
Fermi-level density of states = 2.2 states/eV/f.u.

Most stable: #A (next structure +0.5 kJ/mol of atoms)